Here is RbNbO3 after structural relaxation from OQMD. Energies are from PBE-GGA.

a = 5.5393 Å, b = 5.5393 Å, c = 6.9188 Å
α = 66.40°, β = 66.40°, γ = 60.00°
Last column: nearest neighbours and their distance in Å.
Element x y z (fractional)
1 Nb 0.8444 0.8444 0.4668  6 O 1.94-2.13
2 Nb 0.1556 0.1556 0.5332  6 O 1.94-2.13
3 O 0.5585 0.1291 0.3055  2 Nb 1.94-2.13
4 O 0.0070 0.5585 0.3055  2 Nb 1.94-2.13
5 O 0.1291 0.0070 0.3055  2 Nb 1.94-2.13
6 O 0.8709 0.9930 0.6945  2 Nb 1.94-2.13
7 O 0.9930 0.4415 0.6945  2 Nb 1.94-2.13
8 O 0.4415 0.8709 0.6945  2 Nb 1.94-2.13
9 Rb 0.6352 0.6352 0.0945  6 O 2.75-2.93
10 Rb 0.3648 0.3648 0.9055  6 O 2.75-2.93

Properties
Uncorrected energy (eV per atom): -7.589
Crystal system: trigonal
Magnetic moment (Bohr magnetons per cell): 0.0
Space-group type: R-3, No. 148

Here is Rb3NbO4 after structural relaxation from OQMD. Energies are from PBE-GGA.

a = 6.0312 Å, b = 6.0312 Å, c = 6.0312 Å
α = 109.47°, β = 109.47°, γ = 109.47°
Last column: nearest neighbours and their distance in Å.
Element x y z (fractional)
1 Nb 0.0000 0.0000 0.0000  4 O 1.89
2 O 0.3126 0.0000 0.0000  1 Nb 1.89
3 O 0.0000 0.3126 0.0000  1 Nb 1.89
4 O 0.0000 0.0000 0.3126  1 Nb 1.89
5 O 0.6874 0.6874 0.6874  1 Nb 1.89
6 Rb 0.5000 0.5000 0.0000  4 O 2.85
7 Rb 0.5000 0.0000 0.5000  4 O 2.85
8 Rb 0.0000 0.5000 0.5000  4 O 2.85

Properties
Uncorrected energy (eV per atom): -6.141
Crystal system: cubic
Magnetic moment (Bohr magnetons per cell): 0.0
Space-group type: I-43m, No. 217

Here is RbNbO3 after structural relaxation from OQMD. Energies are from PBE-GGA.

a = 8.8411 Å, b = 8.3591 Å, c = 5.1167 Å
α = 94.86°, β = 93.31°, γ = 113.88°
Last column: nearest neighbours and their distance in Å.
Element x y z (fractional)
1 Nb 0.1454 0.2195 0.0013  3 O 1.81-1.97
2 Nb 0.1905 0.9874 0.4721  3 O 1.81-2.01
3 Nb 0.8095 0.0126 0.5279  3 O 1.81-2.01
4 Nb 0.8546 0.7805 0.9987  3 O 1.81-1.97
5 O 0.2314 0.4454 0.1537  1 Nb 1.81
6 O 0.3018 0.1249 0.1978  2 Nb 1.94-2.10
7 O 0.0455 0.7781 0.2157  2 Nb 1.97-2.01
8 O 0.9899 0.0754 0.2629  2 Nb 2.07-2.09
9 O 0.7215 0.7761 0.2886  2 Nb 1.94-2.06
10 O 0.6782 0.1130 0.4003  1 Nb 1.81
11 O 0.3218 0.8870 0.5997  1 Nb 1.81
12 O 0.2785 0.2239 0.7114  2 Nb 1.94-2.06
13 O 0.0101 0.9246 0.7371  2 Nb 2.07-2.09
14 O 0.9545 0.2219 0.7843  2 Nb 1.97-2.01
15 O 0.6982 0.8751 0.8022  2 Nb 1.94-2.10
16 O 0.7686 0.5546 0.8463  1 Nb 1.81
17 Rb 0.4024 0.7951 0.0840  6 O 2.76-3.03
18 Rb 0.0000 0.5000 0.5000  4 O 2.75-2.93
19 Rb 0.5000 0.5000 0.5000  4 O 2.71-2.74
20 Rb 0.5976 0.2049 0.9160  6 O 2.76-3.03

Properties
Uncorrected energy (eV per atom): -7.599
Crystal system: triclinic
Magnetic moment (Bohr magnetons per cell): 0.0
Space-group type: P-1, No. 2

Look up the uncorrected energy of the second one. -6.141 eV per atom